No. 1
# PBE ScPt3Rh, relaxed
data_ScPt3Rh
_chemical_formula_sum 'Sc4 Pt12 Rh4'
_space_group_name_H-M_alt 'P 1'
_space_group_IT_number 1
_cell_length_a 4.9069
_cell_length_b 5.3323
_cell_length_c 12.4909
_cell_angle_alpha 90.00
_cell_angle_beta 88.88
_cell_angle_gamma 90.00
loop_
_space_group_symop_operation_xyz
'x,y,z'
loop_
_atom_site_label
_atom_site_type_symbol
_atom_site_fract_x
_atom_site_fract_y
_atom_site_fract_z
Pt1 Pt 0.5773 0.7476 0.4885
Pt2 Pt 0.0852 0.0954 0.2137
Pt3 Pt 0.0773 0.7524 0.9885
Pt4 Pt 0.4148 0.5954 0.2863
Pt5 Pt 0.5852 0.4046 0.7137
Pt6 Pt 0.9227 0.2476 0.0115
Pt7 Pt 0.5320 0.8886 0.1006
Pt8 Pt 0.4227 0.2524 0.5115
Pt9 Pt 0.0320 0.6115 0.6006
Pt10 Pt 0.9148 0.9046 0.7863
Pt11 Pt 0.4680 0.1114 0.8994
Pt12 Pt 0.9680 0.3885 0.3994
Sc1 Sc 0.5763 0.0925 0.3114
Sc2 Sc 0.0763 0.4076 0.8114
Sc3 Sc 0.9237 0.5924 0.1886
Sc4 Sc 0.4237 0.9075 0.6886
Rh1 Rh 0.4228 0.3855 0.0889
Rh2 Rh 0.9228 0.1145 0.5889
Rh3 Rh 0.0772 0.8855 0.4111
Rh4 Rh 0.5772 0.6145 0.9111
# **Energy relative to the elements**: -13.7 kcal/mol of atoms
# **Fermi-level density of states**: 1.12 states/eV/atom
# **ΔE to the lowest computed polymorph**: 0.000 eV/atom
# **Space group**: No. 14


No. 2
# PBE Rb4LiBr5, relaxed
data_Rb4LiBr5
_chemical_formula_sum 'Rb4 Li1 Br5'
_space_group_name_H-M_alt 'P 1'
_space_group_IT_number 1
_cell_length_a 4.7161
_cell_length_b 4.7161
_cell_length_c 19.9811
_cell_angle_alpha 83.22
_cell_angle_beta 83.22
_cell_angle_gamma 60.00
loop_
_space_group_symop_operation_xyz
'x,y,z'
loop_
_atom_site_label
_atom_site_type_symbol
_atom_site_fract_x
_atom_site_fract_y
_atom_site_fract_z
Br1 Br 0.0000 0.0000 0.0000
Br2 Br 0.4051 0.4051 0.7848
Br3 Br 0.1900 0.1900 0.4300
Br4 Br 0.5949 0.5949 0.2152
Br5 Br 0.8100 0.8100 0.5700
Rb1 Rb 0.8933 0.8933 0.3201
Rb2 Rb 0.1067 0.1067 0.6799
Rb3 Rb 0.2977 0.2977 0.1070
Rb4 Rb 0.7023 0.7023 0.8930
Li1 Li 0.5000 0.5000 0.5000
# **Fermi-level density of states**: 0.00 states/eV/atom
# **Space group**: No. 166
# **Raw formation energy**: -16.54 eV per formula unit


No. 3
# PBE Er2GaCu, relaxed
data_Er2GaCu
_chemical_formula_sum 'Er2 Ga1 Cu1'
_space_group_name_H-M_alt 'P 1'
_space_group_IT_number 1
_cell_length_a 3.3906
_cell_length_b 3.3906
_cell_length_c 10.1668
_cell_angle_alpha 80.40
_cell_angle_beta 80.40
_cell_angle_gamma 60.00
loop_
_space_group_symop_operation_xyz
'x,y,z'
loop_
_atom_site_label
_atom_site_type_symbol
_atom_site_fract_x
_atom_site_fract_y
_atom_site_fract_z
Er1 Er 0.0930 0.0930 0.7210
Er2 Er 0.9070 0.9070 0.2790
Ga1 Ga 0.5000 0.5000 0.5000
Cu1 Cu 0.0000 0.0000 0.0000
# **Energy relative to the elements**: 4.7 kcal/mol of atoms
# **Fermi-level density of states**: 0.60 states/eV/atom
# **Space group**: No. 166


No. 4
# PBE RbTmPuCl6, relaxed
data_RbTmPuCl6
_chemical_formula_sum 'Rb2 Tm2 Pu2 Cl12'
_space_group_name_H-M_alt 'P 1'
_space_group_IT_number 1
_cell_length_a 7.1744
_cell_length_b 7.1744
_cell_length_c 14.3442
_cell_angle_alpha 90.00
_cell_angle_beta 90.00
_cell_angle_gamma 120.00
loop_
_space_group_symop_operation_xyz
'x,y,z'
loop_
_atom_site_label
_atom_site_type_symbol
_atom_site_fract_x
_atom_site_fract_y
_atom_site_fract_z
Cl1 Cl 0.0229 0.6409 0.8565
Cl2 Cl 0.3820 0.0229 0.1435
Cl3 Cl 0.6409 0.0229 0.3565
Cl4 Cl 0.9771 0.3591 0.1435
Cl5 Cl 0.3591 0.3820 0.8565
Cl6 Cl 0.6180 0.9771 0.8565
Cl7 Cl 0.9771 0.6180 0.3565
Cl8 Cl 0.3820 0.3591 0.3565
Cl9 Cl 0.6409 0.6180 0.1435
Cl10 Cl 0.0229 0.3820 0.6435
Cl11 Cl 0.6180 0.6409 0.6435
Cl12 Cl 0.3591 0.9771 0.6435
Tm1 Tm 0.3333 0.6667 0.7500
Tm2 Tm 0.6667 0.3333 0.2500
Rb1 Rb 0.0000 0.0000 0.5000
Rb2 Rb 0.0000 0.0000 0.0000
Pu1 Pu 0.3333 0.6667 0.2500
Pu2 Pu 0.6667 0.3333 0.7500
# **Fermi-level density of states**: 1.72 states/eV/atom
# **Space group**: No. 163
# **Raw formation energy**: -18.56 eV per formula unit


No. 5
# PBE ZnNi3Cl, relaxed
data_ZnNi3Cl
_chemical_formula_sum 'Zn1 Ni3 Cl1'
_space_group_name_H-M_alt 'P 1'
_space_group_IT_number 1
_cell_length_a 4.4598
_cell_length_b 4.4598
_cell_length_c 4.4598
_cell_angle_alpha 90.00
_cell_angle_beta 90.00
_cell_angle_gamma 90.00
loop_
_space_group_symop_operation_xyz
'x,y,z'
loop_
_atom_site_label
_atom_site_type_symbol
_atom_site_fract_x
_atom_site_fract_y
_atom_site_fract_z
Ni1 Ni 0.0000 0.0000 0.5000
Ni2 Ni 0.5000 0.0000 0.0000
Ni3 Ni 0.0000 0.5000 0.0000
Cl1 Cl 0.5000 0.5000 0.5000
Zn1 Zn 0.0000 0.0000 0.0000
# **Fermi-level density of states**: 3.16 states/eV/atom
# **ΔE to the lowest computed polymorph**: 0.446 eV/atom
# **Space group**: No. 221
# **Raw formation energy**: 4.95 eV per formula unit


No. 6
# PBE Tl2CdCu, relaxed
data_Tl2CdCu
_chemical_formula_sum 'Tl2 Cd1 Cu1'
_space_group_name_H-M_alt 'P 1'
_space_group_IT_number 1
_cell_length_a 5.1462
_cell_length_b 5.1462
_cell_length_c 5.1462
_cell_angle_alpha 60.00
_cell_angle_beta 60.00
_cell_angle_gamma 60.00
loop_
_space_group_symop_operation_xyz
'x,y,z'
loop_
_atom_site_label
_atom_site_type_symbol
_atom_site_fract_x
_atom_site_fract_y
_atom_site_fract_z
Cd1 Cd 0.5000 0.5000 0.5000
Tl1 Tl 0.2500 0.2500 0.2500
Tl2 Tl 0.7500 0.7500 0.7500
Cu1 Cu 0.0000 0.0000 0.0000
# **Energy relative to the elements**: 6.1 kcal/mol of atoms
# **Fermi-level density of states**: 0.54 states/eV/atom
# **ΔE to the lowest computed polymorph**: 0.127 eV/atom
# **Space group**: No. 225


No. 7
# PBE MgAlFe2Te, relaxed
data_MgAlFe2Te
_chemical_formula_sum 'Mg1 Al1 Fe2 Te1'
_space_group_name_H-M_alt 'P 1'
_space_group_IT_number 1
_cell_length_a 4.6411
_cell_length_b 5.2349
_cell_length_c 4.6411
_cell_angle_alpha 90.00
_cell_angle_beta 90.00
_cell_angle_gamma 90.00
loop_
_space_group_symop_operation_xyz
'x,y,z'
loop_
_atom_site_label
_atom_site_type_symbol
_atom_site_fract_x
_atom_site_fract_y
_atom_site_fract_z
Fe1 Fe 0.5000 0.0000 0.0000
Fe2 Fe 0.0000 0.0000 0.5000
Te1 Te 0.0000 0.0000 0.0000
Al1 Al 0.0000 0.5000 0.0000
Mg1 Mg 0.5000 0.5000 0.5000
# **Fermi-level density of states**: 1.21 states/eV/atom
# **Space group**: No. 123
# **Raw formation energy**: 5.23 eV per formula unit


No. 8
# PBE HoErSb, relaxed
data_HoErSb
_chemical_formula_sum 'Ho1 Er1 Sb1'
_space_group_name_H-M_alt 'P 1'
_space_group_IT_number 1
_cell_length_a 3.8982
_cell_length_b 5.0476
_cell_length_c 5.0476
_cell_angle_alpha 120.00
_cell_angle_beta 90.00
_cell_angle_gamma 90.00
loop_
_space_group_symop_operation_xyz
'x,y,z'
loop_
_atom_site_label
_atom_site_type_symbol
_atom_site_fract_x
_atom_site_fract_y
_atom_site_fract_z
Er1 Er 0.0719 0.0000 0.0000
Ho1 Ho 0.6016 0.6667 0.3333
Sb1 Sb 0.3265 0.3333 0.6667
# **Fermi-level density of states**: 0.99 states/eV/atom
# **Space group**: No. 156
# **Raw formation energy**: -1.23 eV per formula unit


No. 9
# PBE ReGeAs2, relaxed
data_ReGeAs2
_chemical_formula_sum 'Re1 Ge1 As2'
_space_group_name_H-M_alt 'P 1'
_space_group_IT_number 1
_cell_length_a 2.7909
_cell_length_b 2.7909
_cell_length_c 10.9785
_cell_angle_alpha 82.70
_cell_angle_beta 82.70
_cell_angle_gamma 60.00
loop_
_space_group_symop_operation_xyz
'x,y,z'
loop_
_atom_site_label
_atom_site_type_symbol
_atom_site_fract_x
_atom_site_fract_y
_atom_site_fract_z
As1 As 0.0799 0.0799 0.7603
As2 As 0.9201 0.9201 0.2397
Re1 Re 0.0000 0.0000 0.0000
Ge1 Ge 0.5000 0.5000 0.5000
# **Energy relative to the elements**: 13.9 kcal/mol of atoms
# **Fermi-level density of states**: 0.88 states/eV/atom
# **Space group**: No. 166


No. 10
# PBE Y2Cu15Pt2, relaxed
data_Y2Cu15Pt2
_chemical_formula_sum 'Y2 Cu15 Pt2'
_space_group_name_H-M_alt 'P 1'
_space_group_IT_number 1
_cell_length_a 6.5079
_cell_length_b 6.5079
_cell_length_c 6.5079
_cell_angle_alpha 83.30
_cell_angle_beta 83.30
_cell_angle_gamma 83.30
loop_
_space_group_symop_operation_xyz
'x,y,z'
loop_
_atom_site_label
_atom_site_type_symbol
_atom_site_fract_x
_atom_site_fract_y
_atom_site_fract_z
Y1 Y 0.3384 0.3384 0.3384
Y2 Y 0.6616 0.6616 0.6616
Cu1 Cu 0.8446 0.3505 0.3505
Cu2 Cu 0.3505 0.8446 0.3505
Cu3 Cu 0.7045 0.2955 0.0000
Cu4 Cu 0.5000 0.0000 0.0000
Cu5 Cu 0.0000 0.2955 0.7045
Cu6 Cu 0.2955 0.0000 0.7045
Cu7 Cu 0.1554 0.6495 0.6495
Cu8 Cu 0.0000 0.0000 0.5000
Cu9 Cu 0.3505 0.3505 0.8446
Cu10 Cu 0.0000 0.7045 0.2955
Cu11 Cu 0.6495 0.6495 0.1554
Cu12 Cu 0.6495 0.1554 0.6495
Cu13 Cu 0.2955 0.7045 0.0000
Cu14 Cu 0.0000 0.5000 0.0000
Cu15 Cu 0.7045 0.0000 0.2955
Pt1 Pt 0.8919 0.8919 0.8919
Pt2 Pt 0.1081 0.1081 0.1081
# **Energy relative to the elements**: -4.7 kcal/mol of atoms
# **Fermi-level density of states**: 0.49 states/eV/atom
# **Space group**: No. 166


No. 11
# PBE TaBeSe2, relaxed
data_TaBeSe2
_chemical_formula_sum 'Ta1 Be1 Se2'
_space_group_name_H-M_alt 'P 1'
_space_group_IT_number 1
_cell_length_a 3.4720
_cell_length_b 3.3772
_cell_length_c 7.3459
_cell_angle_alpha 77.02
_cell_angle_beta 90.00
_cell_angle_gamma 90.00
loop_
_space_group_symop_operation_xyz
'x,y,z'
loop_
_atom_site_label
_atom_site_type_symbol
_atom_site_fract_x
_atom_site_fract_y
_atom_site_fract_z
Se1 Se 0.0000 0.8847 0.8612
Se2 Se 0.5000 0.1219 0.3757
Ta1 Ta 0.0000 0.5268 0.5701
Be1 Be 0.5000 0.9667 0.6929
# **Fermi-level density of states**: 0.32 states/eV/atom
# **Space group**: No. 6
# **Raw formation energy**: -1.66 eV per formula unit


No. 12
# PBE Mg3GaFe, relaxed
data_Mg3GaFe
_chemical_formula_sum 'Mg3 Ga1 Fe1'
_space_group_name_H-M_alt 'P 1'
_space_group_IT_number 1
_cell_length_a 4.9661
_cell_length_b 4.9661
_cell_length_c 4.9661
_cell_angle_alpha 90.00
_cell_angle_beta 90.00
_cell_angle_gamma 90.00
loop_
_space_group_symop_operation_xyz
'x,y,z'
loop_
_atom_site_label
_atom_site_type_symbol
_atom_site_fract_x
_atom_site_fract_y
_atom_site_fract_z
Mg1 Mg 0.0000 0.5000 0.0000
Mg2 Mg 0.5000 0.0000 0.0000
Mg3 Mg 0.0000 0.0000 0.5000
Ga1 Ga 0.5000 0.5000 0.5000
Fe1 Fe 0.0000 0.0000 0.0000
# **Energy relative to the elements**: 13.2 kcal/mol of atoms
# **Fermi-level density of states**: 1.64 states/eV/atom
# **ΔE to the lowest computed polymorph**: 0.000 eV/atom
# **Space group**: No. 221


No. 13
# PBE Pm8Ge2Au, relaxed
data_Pm8Ge2Au
_chemical_formula_sum 'Pm8 Ge2 Au1'
_space_group_name_H-M_alt 'P 1'
_space_group_IT_number 1
_cell_length_a 4.9376
_cell_length_b 6.9019
_cell_length_c 10.0180
_cell_angle_alpha 103.04
_cell_angle_beta 104.27
_cell_angle_gamma 90.00
loop_
_space_group_symop_operation_xyz
'x,y,z'
loop_
_atom_site_label
_atom_site_type_symbol
_atom_site_fract_x
_atom_site_fract_y
_atom_site_fract_z
Pm1 Pm 0.5945 0.4762 0.1890
Pm2 Pm 0.7862 0.6670 0.5724
Pm3 Pm 0.4055 0.5238 0.8110
Pm4 Pm 0.9739 0.2238 0.9478
Pm5 Pm 0.3395 0.0041 0.6791
Pm6 Pm 0.0261 0.7762 0.0522
Pm7 Pm 0.6605 0.9959 0.3209
Pm8 Pm 0.2138 0.3330 0.4276
Au1 Au 0.5000 0.0000 0.0000
Ge1 Ge 0.1836 0.7562 0.3673
Ge2 Ge 0.8164 0.2438 0.6327
# **Energy relative to the elements**: -9.6 kcal/mol of atoms
# **Fermi-level density of states**: 1.10 states/eV/atom
# **Space group**: No. 12


No. 14
# PBE InFeOs2, relaxed
data_InFeOs2
_chemical_formula_sum 'In1 Fe1 Os2'
_space_group_name_H-M_alt 'P 1'
_space_group_IT_number 1
_cell_length_a 3.8215
_cell_length_b 2.8204
_cell_length_c 6.3678
_cell_angle_alpha 63.72
_cell_angle_beta 90.00
_cell_angle_gamma 90.00
loop_
_space_group_symop_operation_xyz
'x,y,z'
loop_
_atom_site_label
_atom_site_type_symbol
_atom_site_fract_x
_atom_site_fract_y
_atom_site_fract_z
Os1 Os 0.5000 0.2570 0.2431
Os2 Os 0.0000 0.9613 0.0391
In1 In 0.5000 0.7614 0.7380
Fe1 Fe 0.0000 0.5202 0.4798
# **Energy relative to the elements**: 8.3 kcal/mol of atoms
# **Fermi-level density of states**: 1.04 states/eV/atom
# **Space group**: No. 25


No. 15
# PBE KCd3Pd2, relaxed
data_KCd3Pd2
_chemical_formula_sum 'K2 Cd6 Pd4'
_space_group_name_H-M_alt 'P 1'
_space_group_IT_number 1
_cell_length_a 5.8973
_cell_length_b 7.1785
_cell_length_c 7.1785
_cell_angle_alpha 102.39
_cell_angle_beta 90.00
_cell_angle_gamma 90.00
loop_
_space_group_symop_operation_xyz
'x,y,z'
loop_
_atom_site_label
_atom_site_type_symbol
_atom_site_fract_x
_atom_site_fract_y
_atom_site_fract_z
Pd1 Pd 0.5000 0.2084 0.7916
Pd2 Pd 0.0000 0.7916 0.2084
Pd3 Pd 0.0000 0.2084 0.7916
Pd4 Pd 0.5000 0.7916 0.2084
Cd1 Cd 0.7500 0.0618 0.4701
Cd2 Cd 0.7500 0.4701 0.0618
Cd3 Cd 0.7500 0.0427 0.0427
Cd4 Cd 0.2500 0.9382 0.5299
Cd5 Cd 0.2500 0.9573 0.9573
Cd6 Cd 0.2500 0.5299 0.9382
K1 K 0.2500 0.3596 0.3596
K2 K 0.7500 0.6404 0.6404
# **Energy relative to the elements**: -6.7 kcal/mol of atoms
# **Fermi-level density of states**: 0.30 states/eV/atom
# **Space group**: No. 63


No. 16
# PBE Ce2PmZrAs4, relaxed
data_Ce2PmZrAs4
_chemical_formula_sum 'Ce2 Pm1 Zr1 As4'
_space_group_name_H-M_alt 'P 1'
_space_group_IT_number 1
_cell_length_a 4.1233
_cell_length_b 7.1501
_cell_length_c 7.1478
_cell_angle_alpha 109.34
_cell_angle_beta 90.00
_cell_angle_gamma 90.00
loop_
_space_group_symop_operation_xyz
'x,y,z'
loop_
_atom_site_label
_atom_site_type_symbol
_atom_site_fract_x
_atom_site_fract_y
_atom_site_fract_z
As1 As 0.5000 0.2350 0.2370
As2 As 0.5000 0.7650 0.7630
As3 As 0.0000 0.2400 0.7555
As4 As 0.0000 0.7600 0.2445
Ce1 Ce 0.0000 0.5000 0.5000
Ce2 Ce 0.5000 0.0000 0.5000
Zr1 Zr 0.0000 0.0000 0.0000
Pm1 Pm 0.5000 0.5000 0.0000
# **Energy relative to the elements**: -31.6 kcal/mol of atoms
# **Fermi-level density of states**: 1.44 states/eV/atom
# **Space group**: No. 10


No. 17
# PBE PmY2Zn2Ga2, relaxed
data_PmY2Zn2Ga2
_chemical_formula_sum 'Pm1 Y2 Zn2 Ga2'
_space_group_name_H-M_alt 'P 1'
_space_group_IT_number 1
_cell_length_a 4.4579
_cell_length_b 4.4579
_cell_length_c 9.7076
_cell_angle_alpha 76.73
_cell_angle_beta 76.73
_cell_angle_gamma 60.00
loop_
_space_group_symop_operation_xyz
'x,y,z'
loop_
_atom_site_label
_atom_site_type_symbol
_atom_site_fract_x
_atom_site_fract_y
_atom_site_fract_z
Y1 Y 0.8728 0.8728 0.3816
Y2 Y 0.1272 0.1272 0.6184
Zn1 Zn 0.4004 0.4004 0.7989
Zn2 Zn 0.5996 0.5996 0.2011
Ga1 Ga 0.7397 0.7397 0.7809
Ga2 Ga 0.2603 0.2603 0.2191
Pm1 Pm 0.0000 0.0000 0.0000
# **Energy relative to the elements**: -9.7 kcal/mol of atoms
# **Fermi-level density of states**: 0.54 states/eV/atom
# **Space group**: No. 166


No. 18
# PBE Sm2Si3Ni, relaxed
data_Sm2Si3Ni
_chemical_formula_sum 'Sm2 Si3 Ni1'
_space_group_name_H-M_alt 'P 1'
_space_group_IT_number 1
_cell_length_a 4.0351
_cell_length_b 4.0351
_cell_length_c 8.2951
_cell_angle_alpha 90.00
_cell_angle_beta 90.00
_cell_angle_gamma 120.00
loop_
_space_group_symop_operation_xyz
'x,y,z'
loop_
_atom_site_label
_atom_site_type_symbol
_atom_site_fract_x
_atom_site_fract_y
_atom_site_fract_z
Sm1 Sm 0.3333 0.6667 0.2456
Sm2 Sm 0.3333 0.6667 0.7544
Ni1 Ni 0.6667 0.3333 0.0000
Si1 Si 0.0000 0.0000 0.5000
Si2 Si 0.6667 0.3333 0.5000
Si3 Si 0.0000 0.0000 0.0000
# **Fermi-level density of states**: 1.28 states/eV/atom
# **Space group**: No. 187
# **Raw formation energy**: -4.12 eV per formula unit